1.
# TiCuSi3, relaxed, DFT PBE
data_TiCuSi3
_chemical_formula_sum 'Ti1 Cu1 Si3'
_cell_length_a 4.463
_cell_length_b 4.463
_cell_length_c 4.463
_cell_angle_alpha 90.00
_cell_angle_beta 90.00
_cell_angle_gamma 90.00
_space_group_name_H-M_alt 'P 1'
_space_group_IT_number 1
_space_group_name_Hall 'P 1'
loop_
_atom_site_label
_atom_site_type_symbol
_atom_site_fract_x
_atom_site_fract_y
_atom_site_fract_z
Ti1 Ti 0.000 0.000 0.000
Cu1 Cu 0.500 0.500 0.500
Si1 Si 0.000 0.500 0.500
Si2 Si 0.500 0.000 0.500
Si3 Si 0.500 0.500 0.000
# formation energy (no corrections) = 3.9 eV per formula unit
# D(E_F) = 6.0 states/eV/cell
# symmetry = Pm-3m
# electronic total energy = -24.40 eV for the cell shown

=====

2.
# TiCu2Si, relaxed, DFT PBE
data_TiCu2Si
_chemical_formula_sum 'Ti2 Cu4 Si2'
_cell_length_a 9.468
_cell_length_b 9.468
_cell_length_c 9.468
_cell_angle_alpha 158.26
_cell_angle_beta 158.26
_cell_angle_gamma 30.94
_space_group_name_H-M_alt 'P 1'
_space_group_IT_number 1
_space_group_name_Hall 'P 1'
loop_
_atom_site_label
_atom_site_type_symbol
_atom_site_fract_x
_atom_site_fract_y
_atom_site_fract_z
Ti1 Ti 0.000 0.000 0.000
Ti2 Ti 0.750 0.250 0.500
Cu1 Cu 0.139 0.625 0.014
Cu2 Cu 0.375 0.389 0.514
Cu3 Cu 0.611 0.125 0.986
Cu4 Cu 0.875 0.861 0.486
Si1 Si 0.250 0.750 0.500
Si2 Si 0.500 0.500 0.000
# formation energy (no corrections) = 0.0 eV per formula unit
# D(E_F) = 7.8 states/eV/cell
# symmetry = I-42d
# electronic total energy = -42.97 eV for the cell shown

=====

3.
# TiCuSi2, relaxed, DFT PBE
data_TiCuSi2
_chemical_formula_sum 'Ti2 Cu2 Si4'
_cell_length_a 8.905
_cell_length_b 8.905
_cell_length_c 8.905
_cell_angle_alpha 156.56
_cell_angle_beta 156.56
_cell_angle_gamma 33.39
_space_group_name_H-M_alt 'P 1'
_space_group_IT_number 1
_space_group_name_Hall 'P 1'
loop_
_atom_site_label
_atom_site_type_symbol
_atom_site_fract_x
_atom_site_fract_y
_atom_site_fract_z
Ti1 Ti 0.113 0.113 0.000
Ti2 Ti 0.887 0.887 0.000
Cu1 Cu 0.250 0.750 0.500
Cu2 Cu 0.750 0.250 0.500
Si1 Si 0.000 0.500 0.500
Si2 Si 0.344 0.344 0.000
Si3 Si 0.500 0.000 0.500
Si4 Si 0.656 0.656 0.000
# formation energy (no corrections) = -1.4 eV per formula unit
# D(E_F) = 4.1 states/eV/cell
# symmetry = I4/mmm
# electronic total energy = -48.48 eV for the cell shown